No. 1
# RbInFe2I8 | the Alexandria database | PBE-GGA | optimized geometry
# - SG = No. 12
# - N(E_F) (states/eV/atom) = 0.057
# - formation energy (no corrections) (eV/atom) = -0.449
data_RbInFe2I8
_chemical_formula_sum 'Rb1 In1 Fe2 I8'
_space_group_name_H-M_alt 'P 1'
_space_group_IT_number 1
_cell_length_a 7.653
_cell_length_b 7.653
_cell_length_c 11.188
_cell_angle_alpha 86.18
_cell_angle_beta 86.18
_cell_angle_gamma 68.99
loop_
_space_group_symop_operation_xyz
'x,y,z'
loop_
_atom_site_label
_atom_site_type_symbol
_atom_site_fract_x
_atom_site_fract_y
_atom_site_fract_z
I1 I 0.297 0.297 0.575
I2 I 0.703 0.703 0.425
I3 I 0.723 0.245 0.234
I4 I 0.272 0.272 0.959
I5 I 0.245 0.723 0.234
I6 I 0.277 0.755 0.766
I7 I 0.728 0.728 0.041
I8 I 0.755 0.277 0.766
Fe1 Fe 0.393 0.393 0.766
Fe2 Fe 0.607 0.607 0.234
Rb1 Rb 0.000 0.000 0.500
In1 In 0.000 0.000 0.000

No. 2
# InFeReI2 | the Alexandria database | PBE-GGA | optimized geometry
# - SG = No. 123
# - N(E_F) (states/eV/atom) = 0.843
# - formation energy (no corrections) (eV/atom) = 1.852
data_InFeReI2
_chemical_formula_sum 'In1 Fe1 Re1 I2'
_space_group_name_H-M_alt 'P 1'
_space_group_IT_number 1
_cell_length_a 5.840
_cell_length_b 5.379
_cell_length_c 5.840
_cell_angle_alpha 90.00
_cell_angle_beta 90.00
_cell_angle_gamma 90.00
loop_
_space_group_symop_operation_xyz
'x,y,z'
loop_
_atom_site_label
_atom_site_type_symbol
_atom_site_fract_x
_atom_site_fract_y
_atom_site_fract_z
I1 I 0.500 0.000 0.000
I2 I 0.000 0.000 0.500
Fe1 Fe 0.500 0.500 0.500
In1 In 0.000 0.000 0.000
Re1 Re 0.000 0.500 0.000

No. 3
# InFeRh2I | the Alexandria database | PBE-GGA | optimized geometry
# - SG = No. 123
# - N(E_F) (states/eV/atom) = 2.072
# - formation energy (no corrections) (eV/atom) = 0.999
data_InFeRh2I
_chemical_formula_sum 'In1 Fe1 Rh2 I1'
_space_group_name_H-M_alt 'P 1'
_space_group_IT_number 1
_cell_length_a 4.897
_cell_length_b 4.681
_cell_length_c 4.897
_cell_angle_alpha 90.00
_cell_angle_beta 90.00
_cell_angle_gamma 90.00
loop_
_space_group_symop_operation_xyz
'x,y,z'
loop_
_atom_site_label
_atom_site_type_symbol
_atom_site_fract_x
_atom_site_fract_y
_atom_site_fract_z
In1 In 0.500 0.500 0.500
Rh1 Rh 0.500 0.000 0.000
Rh2 Rh 0.000 0.000 0.500
Fe1 Fe 0.000 0.500 0.000
I1 I 0.000 0.000 0.000

No. 4
# In2FeRuI | the Alexandria database | PBE-GGA | optimized geometry
# - SG = No. 123
# - N(E_F) (states/eV/atom) = 1.301
# - formation energy (no corrections) (eV/atom) = 1.656
data_In2FeRuI
_chemical_formula_sum 'In2 Fe1 Ru1 I1'
_space_group_name_H-M_alt 'P 1'
_space_group_IT_number 1
_cell_length_a 6.073
_cell_length_b 4.898
_cell_length_c 6.073
_cell_angle_alpha 90.00
_cell_angle_beta 90.00
_cell_angle_gamma 90.00
loop_
_space_group_symop_operation_xyz
'x,y,z'
loop_
_atom_site_label
_atom_site_type_symbol
_atom_site_fract_x
_atom_site_fract_y
_atom_site_fract_z
I1 I 0.000 0.000 0.000
In1 In 0.500 0.000 0.000
In2 In 0.000 0.000 0.500
Fe1 Fe 0.500 0.500 0.500
Ru1 Ru 0.000 0.500 0.000

No. 5
# InFeS2I | the Alexandria database | PBE-GGA | optimized geometry
# - SG = No. 123
# - N(E_F) (states/eV/atom) = 2.328
# - formation energy (no corrections) (eV/atom) = 0.736
data_InFeS2I
_chemical_formula_sum 'In1 Fe1 S2 I1'
_space_group_name_H-M_alt 'P 1'
_space_group_IT_number 1
_cell_length_a 4.957
_cell_length_b 6.150
_cell_length_c 4.957
_cell_angle_alpha 90.00
_cell_angle_beta 90.00
_cell_angle_gamma 90.00
loop_
_space_group_symop_operation_xyz
'x,y,z'
loop_
_atom_site_label
_atom_site_type_symbol
_atom_site_fract_x
_atom_site_fract_y
_atom_site_fract_z
S1 S 0.500 0.000 0.000
S2 S 0.000 0.000 0.500
In1 In 0.000 0.000 0.000
Fe1 Fe 0.500 0.500 0.500
I1 I 0.000 0.500 0.000

No. 6
# InFeSbI2 | the Alexandria database | PBE-GGA | optimized geometry
# - SG = No. 123
# - N(E_F) (states/eV/atom) = 1.126
# - formation energy (no corrections) (eV/atom) = 0.211
# - polymorph energy (0 for the lowest one) (meV per atom) = 0.0
data_InFeSbI2
_chemical_formula_sum 'In1 Fe1 Sb1 I2'
_space_group_name_H-M_alt 'P 1'
_space_group_IT_number 1
_cell_length_a 5.747
_cell_length_b 5.747
_cell_length_c 4.932
_cell_angle_alpha 90.00
_cell_angle_beta 90.00
_cell_angle_gamma 90.00
loop_
_space_group_symop_operation_xyz
'x,y,z'
loop_
_atom_site_label
_atom_site_type_symbol
_atom_site_fract_x
_atom_site_fract_y
_atom_site_fract_z
Sb1 Sb 0.000 0.000 0.500
I1 I 0.500 0.000 0.000
I2 I 0.000 0.500 0.000
In1 In 0.500 0.500 0.500
Fe1 Fe 0.000 0.000 0.000

No. 7
# InFeSn2I | the Alexandria database | PBE-GGA | optimized geometry
# - SG = No. 123
# - N(E_F) (states/eV/atom) = 0.041
# - formation energy (no corrections) (eV/atom) = -0.076
data_InFeSn2I
_chemical_formula_sum 'In1 Fe1 Sn2 I1'
_space_group_name_H-M_alt 'P 1'
_space_group_IT_number 1
_cell_length_a 4.989
_cell_length_b 4.989
_cell_length_c 5.242
_cell_angle_alpha 90.00
_cell_angle_beta 90.00
_cell_angle_gamma 90.00
loop_
_space_group_symop_operation_xyz
'x,y,z'
loop_
_atom_site_label
_atom_site_type_symbol
_atom_site_fract_x
_atom_site_fract_y
_atom_site_fract_z
I1 I 0.500 0.500 0.500
Sn1 Sn 0.000 0.500 0.000
Sn2 Sn 0.500 0.000 0.000
Fe1 Fe 0.000 0.000 0.000
In1 In 0.000 0.000 0.500

No. 8
# InFeTe2I | the Alexandria database | PBE-GGA | optimized geometry
# - SG = No. 123
# - N(E_F) (states/eV/atom) = 0.737
# - formation energy (no corrections) (eV/atom) = 0.118
# - polymorph energy (0 for the lowest one) (meV per atom) = 0.0
data_InFeTe2I
_chemical_formula_sum 'In1 Fe1 Te2 I1'
_space_group_name_H-M_alt 'P 1'
_space_group_IT_number 1
_cell_length_a 5.115
_cell_length_b 5.115
_cell_length_c 6.132
_cell_angle_alpha 90.00
_cell_angle_beta 90.00
_cell_angle_gamma 90.00
loop_
_space_group_symop_operation_xyz
'x,y,z'
loop_
_atom_site_label
_atom_site_type_symbol
_atom_site_fract_x
_atom_site_fract_y
_atom_site_fract_z
In1 In 0.500 0.500 0.500
Te1 Te 0.000 0.500 0.000
Te2 Te 0.500 0.000 0.000
Fe1 Fe 0.000 0.000 0.000
I1 I 0.000 0.000 0.500

No. 9
# In2FeTeI | the Alexandria database | PBE-GGA | optimized geometry
# - SG = No. 123
# - N(E_F) (states/eV/atom) = 0.734
# - formation energy (no corrections) (eV/atom) = 0.002
data_In2FeTeI
_chemical_formula_sum 'In2 Fe1 Te1 I1'
_space_group_name_H-M_alt 'P 1'
_space_group_IT_number 1
_cell_length_a 5.348
_cell_length_b 4.765
_cell_length_c 5.348
_cell_angle_alpha 90.00
_cell_angle_beta 90.00
_cell_angle_gamma 90.00
loop_
_space_group_symop_operation_xyz
'x,y,z'
loop_
_atom_site_label
_atom_site_type_symbol
_atom_site_fract_x
_atom_site_fract_y
_atom_site_fract_z
In1 In 0.000 0.000 0.500
In2 In 0.500 0.000 0.000
Te1 Te 0.000 0.500 0.000
Fe1 Fe 0.000 0.000 0.000
I1 I 0.500 0.500 0.500

No. 10
# InFeTe2I | the Alexandria database | PBE-GGA | optimized geometry
# - SG = No. 123
# - N(E_F) (states/eV/atom) = 1.737
# - formation energy (no corrections) (eV/atom) = 0.872
# - polymorph energy (0 for the lowest one) (meV per atom) = 753.9
data_InFeTe2I
_chemical_formula_sum 'In1 Fe1 Te2 I1'
_space_group_name_H-M_alt 'P 1'
_space_group_IT_number 1
_cell_length_a 5.695
_cell_length_b 5.695
_cell_length_c 5.799
_cell_angle_alpha 90.00
_cell_angle_beta 90.00
_cell_angle_gamma 90.00
loop_
_space_group_symop_operation_xyz
'x,y,z'
loop_
_atom_site_label
_atom_site_type_symbol
_atom_site_fract_x
_atom_site_fract_y
_atom_site_fract_z
In1 In 0.000 0.000 0.000
Te1 Te 0.000 0.500 0.000
Te2 Te 0.500 0.000 0.000
Fe1 Fe 0.500 0.500 0.500
I1 I 0.000 0.000 0.500

No. 11
# ZnInFe2I | the Alexandria database | PBE-GGA | optimized geometry
# - SG = No. 123
# - N(E_F) (states/eV/atom) = 0.840
# - formation energy (no corrections) (eV/atom) = 1.277
data_ZnInFe2I
_chemical_formula_sum 'Zn1 In1 Fe2 I1'
_space_group_name_H-M_alt 'P 1'
_space_group_IT_number 1
_cell_length_a 4.723
_cell_length_b 6.408
_cell_length_c 4.723
_cell_angle_alpha 90.00
_cell_angle_beta 90.00
_cell_angle_gamma 90.00
loop_
_space_group_symop_operation_xyz
'x,y,z'
loop_
_atom_site_label
_atom_site_type_symbol
_atom_site_fract_x
_atom_site_fract_y
_atom_site_fract_z
Fe1 Fe 0.500 0.000 0.000
Fe2 Fe 0.000 0.000 0.500
In1 In 0.000 0.500 0.000
Zn1 Zn 0.500 0.500 0.500
I1 I 0.000 0.000 0.000

No. 12
# Fe2IrI | the Alexandria database | PBE-GGA | optimized geometry
# - SG = No. 122
# - N(E_F) (states/eV/atom) = 1.235
# - formation energy (no corrections) (eV/atom) = 0.981
# - polymorph energy (0 for the lowest one) (meV per atom) = 138.5
data_Fe2IrI
_chemical_formula_sum 'Fe4 Ir2 I2'
_space_group_name_H-M_alt 'P 1'
_space_group_IT_number 1
_cell_length_a 5.672
_cell_length_b 5.672
_cell_length_c 6.763
_cell_angle_alpha 65.21
_cell_angle_beta 65.21
_cell_angle_gamma 90.00
loop_
_space_group_symop_operation_xyz
'x,y,z'
loop_
_atom_site_label
_atom_site_type_symbol
_atom_site_fract_x
_atom_site_fract_y
_atom_site_fract_z
I1 I 0.250 0.750 0.500
I2 I 0.500 0.500 0.000
Ir1 Ir 0.000 0.000 0.000
Ir2 Ir 0.750 0.250 0.500
Fe1 Fe 0.875 0.915 0.750
Fe2 Fe 0.085 0.625 0.250
Fe3 Fe 0.665 0.125 0.250
Fe4 Fe 0.375 0.335 0.750

The lowest formation energy (no corrections) belongs to which entry?
RbInFe2I8